# 1
The following is a DFT calculation (GGA-PBEsol) of a relaxed KReBr3 crystal.

The crystal system is cubic. For the density of states at the Fermi level, the calculation gives 2.27 states/eV per cell. For the raw formation energy, the calculation gives -0.21 eV/atom. As for the total magnetic moment: 2.9 μB/f.u. Its total DFT energy (no corrections) is -21.10 eV for the cell shown.

Unit cell a=5.1969 b=5.1969 c=5.1969 alpha=90.00 beta=90.00 gamma=90.00
Space group Pm-3m (No. 221)
Asymmetric unit:
K  0.0000  0.0000  0.0000 (multiplicity 1)
Re  0.5000  0.5000  0.5000 (multiplicity 1)
Br  0.0000  0.5000  0.5000 (multiplicity 3)

---

# 2
The following is a DFT calculation (GGA-PBEsol) of a relaxed BaLa2O4 crystal.

The crystal system is cubic. For the density of states at the Fermi level, the calculation gives 0.00 states/eV per cell. For the raw formation energy, the calculation gives -3.17 eV/atom. As for the total magnetic moment: 0.0 μB/f.u. Its total DFT energy (no corrections) is -448.48 eV for the cell shown. For the polymorph energy (0 for the lowest one), the calculation gives 20 meV per atom.

Unit cell a=10.4161 b=10.4161 c=10.4161 alpha=90.00 beta=90.00 gamma=90.00
Space group Fd-3m (No. 227, origin choice 2)
Asymmetric unit:
Ba  0.1250  0.1250  0.1250 (multiplicity 8)
La  0.0000  0.0000  0.5000 (multiplicity 16)
O  0.0185  0.0185  0.7315 (multiplicity 32)

---

# 3
The following is a DFT calculation (GGA-PBEsol) of a relaxed SrLiCd crystal.

The crystal system is hexagonal. For the density of states at the Fermi level, the calculation gives 2.01 states/eV per cell. As for the total magnetic moment: 0.0 μB/f.u. Its total DFT energy (no corrections) is -5.55 eV for the cell shown. The formation enthalpy at 0 K comes out at -0.18 eV per atom. For the polymorph energy (0 for the lowest one), the calculation gives 5 meV per atom.

Unit cell a=4.9345 b=4.9345 c=4.1629 alpha=90.00 beta=90.00 gamma=120.00
Space group P-6m2 (No. 187)
Asymmetric unit:
Sr  0.0000  0.0000  0.0000 (multiplicity 1)
Li  0.6667  0.3333  0.5000 (multiplicity 1)
Cd  0.3333  0.6667  0.5000 (multiplicity 1)

---

# 4
The following is a DFT calculation (GGA-PBEsol) of a relaxed MnZn2Ag crystal.

The crystal system is tetragonal. For the density of states at the Fermi level, the calculation gives 2.49 states/eV per cell. As for the total magnetic moment: 3.1 μB/f.u. Its total DFT energy (no corrections) is -15.80 eV for the cell shown. The formation enthalpy at 0 K comes out at 0.11 eV per atom.

Unit cell a=3.9877 b=3.9877 c=3.5734 alpha=90.00 beta=90.00 gamma=90.00
Space group P4/mmm (No. 123)
Asymmetric unit:
Mn  0.0000  0.0000  0.0000 (multiplicity 1)
Zn  0.0000  0.5000  0.5000 (multiplicity 2)
Ag  0.5000  0.5000  0.0000 (multiplicity 1)

---

# 5
The following is a DFT calculation (GGA-PBEsol) of a relaxed BeAgPt2 crystal.

The crystal system is trigonal. For the density of states at the Fermi level, the calculation gives 5.60 states/eV per cell. As for the total magnetic moment: 0.0 μB/f.u. Its total DFT energy (no corrections) is -67.84 eV for the cell shown. The formation enthalpy at 0 K comes out at -0.34 eV per atom.

Unit cell a=2.7648 b=2.7648 c=24.9469 alpha=90.00 beta=90.00 gamma=120.00
Space group R-3m (No. 166, hexagonal axes)
Asymmetric unit:
Be  0.0000  0.0000  0.0000 (multiplicity 3)
Ag  0.0000  0.0000  0.5000 (multiplicity 3)
Pt  0.0000  0.0000  0.2640 (multiplicity 6)

---

# 6
The following is a DFT calculation (GGA-PBEsol) of a relaxed CdMoO2F crystal.

The crystal system is tetragonal. For the density of states at the Fermi level, the calculation gives 2.99 states/eV per cell. For the raw formation energy, the calculation gives 0.08 eV/atom. As for the total magnetic moment: 3.5 μB/f.u. Its total DFT energy (no corrections) is -24.98 eV for the cell shown.

Unit cell a=4.1613 b=4.1613 c=4.1105 alpha=90.00 beta=90.00 gamma=90.00
Space group P4/mmm (No. 123)
Asymmetric unit:
Cd  0.0000  0.0000  0.0000 (multiplicity 1)
Mo  0.5000  0.5000  0.5000 (multiplicity 1)
O  0.0000  0.5000  0.0000 (multiplicity 2)
F  0.0000  0.0000  0.5000 (multiplicity 1)

---

# 7
The following is a DFT calculation (GGA-PBEsol) of a relaxed YRe2Sb crystal.

The crystal system is orthorhombic. For the density of states at the Fermi level, the calculation gives 3.69 states/eV per cell. For the raw formation energy, the calculation gives 0.50 eV/atom. As for the total magnetic moment: 0.0 μB/f.u. Its total DFT energy (no corrections) is -36.04 eV for the cell shown.

Unit cell a=3.1810 b=4.0582 c=5.9228 alpha=90.00 beta=90.00 gamma=90.00
Space group Pmmm (No. 47)
Asymmetric unit:
Y  0.0000  0.0000  0.0000 (multiplicity 1)
Re  0.5000  0.5000  0.2921 (multiplicity 2)
Sb  0.0000  0.0000  0.5000 (multiplicity 1)

---

# 8
The following is a DFT calculation (GGA-PBEsol) of a relaxed TaInS2 crystal.

The crystal system is trigonal. For the density of states at the Fermi level, the calculation gives 4.73 states/eV per cell. For the raw formation energy, the calculation gives -0.83 eV/atom. As for the total magnetic moment: 0.0 μB/f.u. Its total DFT energy (no corrections) is -82.88 eV for the cell shown.

Unit cell a=3.2669 b=3.2669 c=26.6913 alpha=90.00 beta=90.00 gamma=120.00
Space group R-3m (No. 166, hexagonal axes)
Asymmetric unit:
Ta  0.0000  0.0000  0.0000 (multiplicity 3)
In  0.0000  0.0000  0.5000 (multiplicity 3)
S  0.0000  0.0000  0.3924 (multiplicity 6)